Crystalline PtSe2BrN at its relaxed geometry. Source: Alexandria, functional PBE.

Cell lengths 5.228, 5.228, 3.591 Å; angles 90.00, 90.00, 90.00 degrees
Element x y z (fractional)
Pt 0.000 0.000 0.000
Se 0.000 0.500 0.500
Se 0.500 0.000 0.500
Br 0.500 0.500 0.500
N 0.500 0.500 0.000

Calculated values
Magnetization   0.0 μB/f.u.
Distance to the lowest polymorph of the same formula   979.8 meV per atom
E_form (uncorrected)   828.7 kJ/mol of formula units
Fermi-level density of states   3.84 states/eV per cell